# CeB4Ir2Os2

A geometry-optimized CeB4Ir2Os2 structure (PBE, Alexandria via LeMat-Bulk).

The structure in POSCAR format:
```
CeB4Ir2Os2
1.0
7.631 0.000 0.000
0.000 7.631 0.000
0.000 0.000 4.003
Ce B Ir Os
2 8 4 4
Cartesian
0.000 3.815 0.981
3.815 0.000 2.982
5.972 1.221 1.457
1.659 6.409 1.457
6.409 5.972 3.459
1.221 1.659 3.459
5.515 2.581 2.566
2.116 5.050 2.566
5.050 5.515 0.564
2.581 2.116 0.564
2.982 5.027 0.548
4.649 2.603 0.548
2.603 2.982 2.550
5.027 4.649 2.550
0.835 6.518 3.444
6.795 1.113 3.444
1.113 0.835 1.443
6.518 6.795 1.443
```

Computed properties:
- raw total energy (eV/atom) = -8.5852
- SG = P4_2, No. 77
- ρ (g cm⁻³) = 13.51
- DFT formation energy (eV per atom) = -0.494
- volume (Å³/cell) = 233